Record 1
{"formula": "Rb3U2Se3S4", "functional": "PBE-GGA", "state": "relaxed", "spacegroup": "Immm", "raw_formation_energy_ev_per_atom": -1.243, "density_g_cm3": 4.64, "cell": [[-0.6314, -4.6281, -2.2841], [-1.3254, -2.2061, 4.8363], [-12.2923, 6.3600, -3.5705]], "species": ["Rb", "Rb", "Rb", "U", "U", "Se", "Se", "Se", "S", "S", "S", "S"], "fractional_positions": [[0.5024, 0.5000, 0.0000], [0.3150, 0.3129, 0.6258], [0.6891, 0.6871, 0.3742], [0.1026, 0.1002, 0.2004], [0.9021, 0.8998, 0.7996], [0.0026, 0.0000, 0.0000], [0.0986, 0.5964, 0.1928], [0.9058, 0.4036, 0.8072], [0.4044, 0.9020, 0.8041], [0.1914, 0.1890, 0.3781], [0.8134, 0.8110, 0.6219], [0.6003, 0.0980, 0.1959]]}

***

Record 2
{"formula": "RbU2Se6S2", "functional": "PBE-GGA", "state": "relaxed", "spacegroup": "P-1", "raw_formation_energy_ev_per_atom": -0.783, "density_g_cm3": 4.35, "cell": [[-0.7636, -0.4651, -7.3106], [4.5370, -4.6927, -5.6162], [-12.0876, -0.3113, 4.3193]], "species": ["Rb", "U", "U", "Se", "Se", "Se", "Se", "Se", "Se", "S", "S"], "fractional_positions": [[0.5000, 0.0000, 0.5000], [0.8404, 0.3165, 0.8935], [0.1596, 0.6835, 0.1065], [0.3652, 0.5806, 0.8942], [0.2296, 0.2328, 0.9919], [0.0876, 0.8910, 0.5713], [0.7704, 0.7672, 0.0081], [0.9124, 0.1090, 0.4287], [0.6348, 0.4194, 0.1058], [0.0252, 0.7860, 0.6704], [0.9748, 0.2140, 0.3296]]}

***

Record 3
{"formula": "RbUSeS3", "functional": "PBE-GGA", "state": "relaxed", "spacegroup": "Cmcm", "raw_formation_energy_ev_per_atom": -0.856, "density_g_cm3": 3.57, "cell": [[-2.5182, -4.5506, -5.0299], [-4.6823, -2.3781, 4.4956], [-3.6685, 7.6533, -5.0875]], "species": ["Rb", "Rb", "U", "U", "Se", "Se", "S", "S", "S", "S", "S", "S"], "fractional_positions": [[0.7500, 0.2680, 0.5360], [0.2500, 0.7320, 0.4640], [0.2500, 0.0413, 0.0826], [0.7500, 0.9587, 0.9174], [0.2500, 0.2933, 0.5866], [0.7500, 0.7067, 0.4134], [0.2500, 0.1748, 0.3495], [0.0000, 0.2385, 0.0000], [0.5000, 0.7615, 0.0000], [0.5000, 0.2385, 0.0000], [0.0000, 0.7615, 0.0000], [0.7500, 0.8252, 0.6505]]}

***

Record 4
{"formula": "Rb3U3SeS8", "functional": "PBE-GGA", "state": "relaxed", "spacegroup": "C2/m", "raw_formation_energy_ev_per_atom": -1.105, "density_g_cm3": 4.92, "cell": [[8.6078, 0.0000, 0.0000], [-4.3039, 6.7331, 0.1121], [0.0000, -4.2885, 7.5314]], "species": ["Rb", "Rb", "Rb", "U", "U", "U", "Se", "S", "S", "S", "S", "S", "S", "S", "S"], "fractional_positions": [[0.0000, 0.0000, 0.0000], [0.0000, 0.5000, 0.0000], [0.5000, 0.5000, 0.0000], [0.5000, 0.0000, 0.5000], [0.5000, 0.5000, 0.5000], [0.0000, 0.5000, 0.5000], [0.0000, 0.0000, 0.5000], [0.2678, 0.5356, 0.3062], [0.7322, 0.4644, 0.6938], [0.7844, 0.5687, 0.3319], [0.2156, 0.4313, 0.6681], [0.7305, 0.0702, 0.2895], [0.2695, 0.9298, 0.7105], [0.3396, 0.0702, 0.2895], [0.6604, 0.9298, 0.7105]]}

***

Record 5
{"formula": "RbUSeS2", "functional": "PBE-GGA", "state": "relaxed", "spacegroup": "P2_1/m", "raw_formation_energy_ev_per_atom": -1.227, "density_g_cm3": 4.79, "cell": [[-3.2416, -0.3894, -2.4288], [-4.1451, -5.5298, 6.4188], [-2.9031, 7.5762, 2.6600]], "species": ["Rb", "Rb", "U", "U", "Se", "Se", "S", "S", "S", "S"], "fractional_positions": [[0.2500, 0.7096, 0.3336], [0.7500, 0.2904, 0.6664], [0.2500, 0.8627, 0.8283], [0.7500, 0.1373, 0.1717], [0.2500, 0.5893, 0.7467], [0.7500, 0.4107, 0.2533], [0.7500, 0.9004, 0.6444], [0.7500, 0.8546, 0.0422], [0.2500, 0.0996, 0.3556], [0.2500, 0.1454, 0.9578]]}

***

Record 6
{"formula": "Rb2VSeS", "functional": "PBE-GGA", "state": "relaxed", "spacegroup": "P4/mmm", "raw_formation_energy_ev_per_atom": -0.199, "density_g_cm3": 2.83, "cell": [[6.6617, 0.0000, 0.0000], [0.0000, 4.4072, 0.0000], [0.0000, 0.0000, 6.6617]], "species": ["S", "Se", "Rb", "Rb", "V"], "fractional_positions": [[0.0000, 0.5000, 0.0000], [0.5000, 0.5000, 0.5000], [0.0000, 0.0000, 0.5000], [0.5000, 0.0000, 0.0000], [0.0000, 0.0000, 0.0000]]}

***

Record 7
{"formula": "RbWSe2S", "functional": "PBE-GGA", "state": "relaxed", "spacegroup": "P4/mmm", "raw_formation_energy_ev_per_atom": 2.481, "density_g_cm3": 4.96, "cell": [[5.4969, 0.0000, 0.0000], [0.0000, 5.0904, 0.0000], [0.0000, 0.0000, 5.4969]], "species": ["S", "Se", "Se", "Rb", "W"], "fractional_positions": [[0.0000, 0.5000, 0.0000], [0.0000, 0.0000, 0.5000], [0.5000, 0.0000, 0.0000], [0.0000, 0.0000, 0.0000], [0.5000, 0.5000, 0.5000]]}

***

Record 8
{"formula": "Rb2WSeS", "functional": "PBE-GGA", "state": "relaxed", "spacegroup": "P4/mmm", "raw_formation_energy_ev_per_atom": 0.992, "density_g_cm3": 3.82, "cell": [[-1.1756, -2.4365, 5.8175], [2.6047, -4.0116, -1.1538], [5.3146, 2.8040, 2.2483]], "species": ["S", "Se", "Rb", "Rb", "W"], "fractional_positions": [[0.0000, 0.0000, 0.0000], [0.0000, 0.5000, 0.0000], [0.0000, 0.0000, 0.5000], [0.5000, 0.0000, 0.0000], [0.5000, 0.5000, 0.5000]]}

***

Record 9
{"formula": "Rb2Zn2Se2S", "functional": "PBE-GGA", "state": "relaxed", "spacegroup": "C2/m", "raw_formation_energy_ev_per_atom": -0.935, "density_g_cm3": 4.06, "cell": [[4.1884, -0.0029, 0.0044], [2.1000, 7.2866, 1.4375], [-0.0022, 3.9412, 7.3642]], "species": ["Rb", "Rb", "Zn", "Zn", "Se", "Se", "S"], "fractional_positions": [[0.5641, 0.8724, 0.7937], [0.4359, 0.1276, 0.2063], [0.8123, 0.3750, 0.6907], [0.1877, 0.6250, 0.3093], [0.8049, 0.3907, 0.3729], [0.1951, 0.6093, 0.6271], [0.0000, 0.0000, 0.0000]]}

***

Record 10
{"formula": "Rb2ZnSeS", "functional": "PBE-GGA", "state": "relaxed", "spacegroup": "P2_1/m", "raw_formation_energy_ev_per_atom": -0.968, "density_g_cm3": 3.34, "cell": [[4.1973, 0.0000, 0.0000], [0.0000, 8.0470, -0.0283], [0.0000, -3.4947, 10.2306]], "species": ["Rb", "Rb", "Rb", "Rb", "Zn", "Zn", "Se", "Se", "S", "S"], "fractional_positions": [[0.7500, 0.8230, 0.6023], [0.7500, 0.7923, 0.0475], [0.2500, 0.1770, 0.3977], [0.2500, 0.2077, 0.9525], [0.2500, 0.4910, 0.7399], [0.7500, 0.5090, 0.2601], [0.2500, 0.6893, 0.3029], [0.7500, 0.3107, 0.6971], [0.2500, 0.7811, 0.8159], [0.7500, 0.2189, 0.1841]]}

***

Record 11
{"formula": "RbZrSeS2", "functional": "PBE-GGA", "state": "relaxed", "spacegroup": "P4/mmm", "raw_formation_energy_ev_per_atom": -1.148, "density_g_cm3": 3.85, "cell": [[-0.0336, 5.0519, 0.6114], [-5.0886, -0.0288, -0.0414], [-0.0394, -0.6408, 5.2922]], "species": ["S", "S", "Se", "Rb", "Zr"], "fractional_positions": [[0.0000, 0.5000, 0.0000], [0.5000, 0.0000, 0.0000], [0.0000, 0.0000, 0.5000], [0.5000, 0.5000, 0.5000], [0.0000, 0.0000, 0.0000]]}

***

Record 12
{"formula": "RbZrSe2S", "functional": "PBE-GGA", "state": "relaxed", "spacegroup": "P4/mmm", "raw_formation_energy_ev_per_atom": -1.119, "density_g_cm3": 4.22, "cell": [[5.3321, 0.0000, 0.0000], [0.0000, 5.3321, 0.0000], [0.0000, 0.0000, 5.0783]], "species": ["S", "Se", "Se", "Rb", "Zr"], "fractional_positions": [[0.0000, 0.0000, 0.5000], [0.0000, 0.5000, 0.0000], [0.5000, 0.0000, 0.0000], [0.5000, 0.5000, 0.5000], [0.0000, 0.0000, 0.0000]]}